DFT (PBE) results for SiSnPt3 after structural relaxation.

theoretical density: 10.09 Mg/m³
uncorrected formation energy: 1033 meV/atom

a = 4.9382 Å, b = 4.9382 Å, c = 4.9382 Å
α = 90.00°, β = 90.00°, γ = 90.00°
Positions (direct):
Si  0.0000  0.0000  0.0000
Sn  0.5000  0.5000  0.5000
Pt  0.0000  0.5000  0.5000
Pt  0.5000  0.0000  0.5000
Pt  0.5000  0.5000  0.0000